EuIn: single point on PBEsol structure, meta-GGA SCAN.

Values from the calculation:
Total magnetization ... 3.593 μB per atom
Energy of formation ... -0.603 eV/atom
Fermi-level density of states ... 6.3 states/eV/f.u.

Cell lengths 3.858, 3.858, 3.858 Å; angles 90.00, 90.00, 90.00 degrees
Element x y z (fractional)
Eu1 0.000 0.000 0.000
In1 0.500 0.500 0.500

***

CoTcSb2: single point on PBEsol structure, meta-GGA SCAN.

Values from the calculation:
Total magnetization ... 0.000 μB per atom
Energy above the most stable polymorph in this dataset ... 0 meV/atom
Fermi-level density of states ... 2.5 states/eV/f.u.

Cell lengths 3.502, 3.502, 5.536 Å; angles 90.00, 90.00, 90.00 degrees
Element x y z (fractional)
Co1 0.000 0.000 0.000
Tc1 0.500 0.500 0.649
Sb1 0.000 0.000 0.471
Sb2 0.500 0.500 0.121

***

TeCl3: single point on PBEsol structure, meta-GGA SCAN.

Values from the calculation:
Total magnetization ... 0.000 μB per atom
Energy above the most stable polymorph in this dataset ... 394 meV/atom
Fermi-level density of states ... 3.2 states/eV/f.u.

Cell lengths 4.429, 4.429, 8.184 Å; angles 90.00, 90.00, 90.00 degrees
Element x y z (fractional)
Te1 0.000 0.000 0.000
Te2 0.500 0.500 0.500
Cl1 0.000 0.000 0.500
Cl2 0.000 0.500 0.250
Cl3 0.000 0.500 0.750
Cl4 0.500 0.000 0.250
Cl5 0.500 0.000 0.750
Cl6 0.500 0.500 0.000

***

Y6NiI10: single point on PBEsol structure, meta-GGA SCAN.

Values from the calculation:
Total magnetization ... 0.000 μB per atom
Uncorrected energy ... -33.748 eV/atom

Cell lengths 7.495, 9.410, 9.427 Å; angles 107.17, 96.91, 104.74 degrees
Element x y z (fractional)
Y1 0.032 0.215 0.414
Y2 0.114 0.540 0.259
Y3 0.347 0.623 0.664
Y4 0.653 0.377 0.336
Y5 0.886 0.460 0.741
Y6 0.968 0.785 0.586
Ni1 0.000 0.500 0.500
I1 0.087 0.875 0.314
I2 0.224 0.238 0.146
I3 0.266 0.590 0.968
I4 0.358 0.959 0.776
I5 0.452 0.309 0.595
I6 0.548 0.691 0.405
I7 0.642 0.041 0.224
I8 0.734 0.410 0.032
I9 0.776 0.762 0.854
I10 0.913 0.125 0.686

***

TlH2OsAu: single point on PBEsol structure, meta-GGA SCAN.

Values from the calculation:
Total magnetization ... 0.224 μB per atom
Uncorrected energy ... -43.202 eV/atom
Fermi-level density of states ... 2.3 states/eV/f.u.

Cell lengths 3.698, 3.698, 5.359 Å; angles 90.00, 90.00, 90.00 degrees
Element x y z (fractional)
Tl1 0.000 0.000 0.000
H1 0.000 0.500 0.500
H2 0.500 0.000 0.500
Os1 0.500 0.500 0.000
Au1 0.500 0.500 0.500

***

Nd2Ni12As7: single point on PBEsol structure, meta-GGA SCAN.

Values from the calculation:
Total magnetization ... 0.000 μB per atom
Energy of formation ... -0.579 eV/atom
Fermi-level density of states ... 13.3 states/eV/f.u.

Cell lengths 9.265, 9.265, 3.841 Å; angles 90.00, 90.00, 120.00 degrees
Element x y z (fractional)
Nd1 0.000 0.000 0.000
Nd2 0.333 0.667 0.500
Ni1 0.041 0.285 0.500
Ni2 0.105 0.715 0.000
Ni3 0.244 0.959 0.500
Ni4 0.285 0.390 0.000
Ni5 0.388 0.186 0.000
Ni6 0.557 0.430 0.500
Ni7 0.570 0.127 0.500
Ni8 0.610 0.895 0.000
Ni9 0.715 0.756 0.500
Ni10 0.798 0.612 0.000
Ni11 0.814 0.202 0.000
Ni12 0.873 0.443 0.500
As1 0.065 0.445 0.000
As2 0.265 0.231 0.500
As3 0.380 0.935 0.000
As4 0.555 0.620 0.000
As5 0.667 0.333 0.000
As6 0.769 0.034 0.500
As7 0.966 0.735 0.500

***

AlTc2Te: single point on PBEsol structure, meta-GGA SCAN.

Values from the calculation:
Total magnetization ... 0.000 μB per atom
Energy above the most stable polymorph in this dataset ... 0 meV/atom
Fermi-level density of states ... 2.4 states/eV/f.u.

Cell lengths 6.235, 6.235, 6.235 Å; angles 90.00, 90.00, 90.00 degrees
Element x y z (fractional)
Al1 0.000 0.000 0.000
Al2 0.000 0.500 0.500
Al3 0.500 0.000 0.500
Al4 0.500 0.500 0.000
Tc1 0.250 0.250 0.250
Tc2 0.250 0.250 0.750
Tc3 0.250 0.750 0.250
Tc4 0.250 0.750 0.750
Tc5 0.750 0.250 0.250
Tc6 0.750 0.250 0.750
Tc7 0.750 0.750 0.250
Tc8 0.750 0.750 0.750
Te1 0.000 0.000 0.500
Te2 0.000 0.500 0.000
Te3 0.500 0.000 0.000
Te4 0.500 0.500 0.500

***

AsIrIN2: single point on PBEsol structure, meta-GGA SCAN.

Values from the calculation:
Total magnetization ... 0.286 μB per atom
Uncorrected energy ... -27.537 eV/atom
Fermi-level density of states ... 3.7 states/eV/f.u.

Cell lengths 3.665, 3.665, 7.149 Å; angles 90.00, 90.00, 90.00 degrees
Element x y z (fractional)
As1 0.000 0.000 0.000
Ir1 0.500 0.500 0.500
I1 0.000 0.000 0.500
N1 0.000 0.500 0.000
N2 0.500 0.000 0.000

***

Zr2ScRh: single point on PBEsol structure, meta-GGA SCAN.

Values from the calculation:
Total magnetization ... 0.132 μB per atom
Energy of formation ... -0.502 eV/atom
Fermi-level density of states ... 4.0 states/eV/f.u.

Cell lengths 3.251, 3.251, 7.369 Å; angles 90.00, 90.00, 90.00 degrees
Element x y z (fractional)
Zr1 0.000 0.000 0.000
Zr2 0.500 0.500 0.278
Sc1 0.500 0.500 0.707
Rh1 0.000 0.000 0.491

***

AlTl: single point on PBEsol structure, meta-GGA SCAN.

Values from the calculation:
Total magnetization ... 0.000 μB per atom
Energy of formation ... 0.324 eV/atom
Fermi-level density of states ... 0.9 states/eV/f.u.

Cell lengths 3.229, 3.229, 5.078 Å; angles 90.00, 90.00, 120.00 degrees
Element x y z (fractional)
Al1 0.000 0.000 0.000
Tl1 0.333 0.667 0.500

***

LuZrCo2: single point on PBEsol structure, meta-GGA SCAN.

Values from the calculation:
Total magnetization ... 0.353 μB per atom
Energy of formation ... -0.374 eV/atom
Fermi-level density of states ... 1.6 states/eV/f.u.

Cell lengths 6.331, 6.331, 6.331 Å; angles 90.00, 90.00, 90.00 degrees
Element x y z (fractional)
Lu1 0.000 0.000 0.000
Lu2 0.000 0.500 0.500
Lu3 0.500 0.000 0.500
Lu4 0.500 0.500 0.000
Zr1 0.000 0.000 0.500
Zr2 0.000 0.500 0.000
Zr3 0.500 0.000 0.000
Zr4 0.500 0.500 0.500
Co1 0.250 0.250 0.250
Co2 0.250 0.250 0.750
Co3 0.250 0.750 0.250
Co4 0.250 0.750 0.750
Co5 0.750 0.250 0.250
Co6 0.750 0.250 0.750
Co7 0.750 0.750 0.250
Co8 0.750 0.750 0.750

***

InSb2S: single point on PBEsol structure, meta-GGA SCAN.

Values from the calculation:
Total magnetization ... 0.000 μB per atom
Uncorrected energy ... -29.176 eV/atom
Fermi-level density of states ... 1.6 states/eV/f.u.

Cell lengths 5.618, 5.618, 15.529 Å; angles 90.00, 90.00, 90.00 degrees
Element x y z (fractional)
In1 0.000 0.000 0.000
In2 0.000 0.500 0.250
In3 0.500 0.000 0.750
In4 0.500 0.500 0.500
Sb1 0.200 0.250 0.625
Sb2 0.250 0.700 0.875
Sb3 0.250 0.800 0.375
Sb4 0.300 0.250 0.125
Sb5 0.700 0.750 0.125
Sb6 0.750 0.200 0.375
Sb7 0.750 0.300 0.875
Sb8 0.800 0.750 0.625
S1 0.000 0.000 0.500
S2 0.000 0.500 0.750
S3 0.500 0.000 0.250
S4 0.500 0.500 0.000